Entry 1:
A relaxed BC crystal, computed with PBE.

Results
Spin magnetization in μB/cell: 0.00
Space group: No. 8
Calculated formation energy in eV per atom: 0.37

Cell: 4.5360 4.5360 8.4151 Å, 118.77 118.77 31.60°
Fractional positions:
1 B 0.0000 0.0000 0.0000
2 B 0.1369 0.1369 0.8151
3 B 0.5263 0.5263 0.5042
4 B 0.6849 0.6849 0.1407
5 B 0.7767 0.7767 0.9755
6 B 0.9268 0.9268 0.1925
7 C 0.1524 0.1524 0.6363
8 C 0.3279 0.3279 0.4704
9 C 0.3379 0.3379 0.6681
10 C 0.5365 0.5365 0.3188
11 C 0.7269 0.7269 0.3589
12 C 0.9388 0.9388 0.7788


Entry 2:
A relaxed BC crystal, computed with PBE.

Results
Spin magnetization in μB/cell: 0.00
Space group: No. 6
Calculated formation energy in eV per atom: 0.39

Cell: 4.7871 2.6031 6.6427 Å, 90.00 96.50 90.00°
Fractional positions:
1 B 0.0000 0.0000 0.0000
2 B 0.0544 0.0000 0.3867
3 B 0.3107 0.0000 0.6543
4 B 0.4173 0.0000 0.4239
5 B 0.5698 0.5000 0.2830
6 B 0.6815 0.0000 0.6898
7 C 0.1587 0.5000 0.7382
8 C 0.1877 0.5000 0.9686
9 C 0.5161 0.5000 0.0374
10 C 0.6591 0.0000 0.9596
11 C 0.8655 0.5000 0.6274
12 C 0.8825 0.5000 0.3921


Entry 3:
A relaxed BC crystal, computed with PBE.

Results
Spin magnetization in μB/cell: 0.00
Space group: No. 8
Calculated formation energy in eV per atom: 0.33

Cell: 6.9061 6.9061 4.6672 Å, 105.85 105.85 22.24°
Fractional positions:
1 B 0.0000 0.0000 0.0000
2 B 0.0035 0.0035 0.6153
3 B 0.1254 0.1254 0.8778
4 B 0.1669 0.1669 0.5417
5 B 0.6150 0.6150 0.2638
6 B 0.8111 0.8111 0.8149
7 C 0.2918 0.2918 0.6271
8 C 0.3334 0.3334 0.3415
9 C 0.4529 0.4529 0.4333
10 C 0.4908 0.4908 0.1546
11 C 0.6801 0.6801 0.0280
12 C 0.7950 0.7950 0.1480


Entry 4:
A relaxed B7C5 crystal, computed with PBE.

Results
Spin magnetization in μB/cell: 0.00
Space group: No. 8
Calculated formation energy in eV per atom: 0.31

Cell: 4.4320 4.4320 7.9218 Å, 115.27 115.27 35.31°
Fractional positions:
1 B 0.0000 0.0000 0.0000
2 B 0.5317 0.5317 0.1779
3 B 0.5664 0.5664 0.5027
4 B 0.6738 0.6738 0.0930
5 B 0.7402 0.7402 0.9029
6 B 0.7857 0.7857 0.3400
7 B 0.8917 0.8917 0.1431
8 C 0.1506 0.1506 0.7866
9 C 0.1673 0.1673 0.6011
10 C 0.3624 0.3624 0.6486
11 C 0.3633 0.3633 0.4528
12 C 0.9586 0.9586 0.7620


Entry 5:
A relaxed B3C crystal, computed with PBE.

Results
Spin magnetization in μB/cell: 0.00
Space group: No. 8
Calculated formation energy in eV per atom: 0.52

Cell: 7.7056 7.7056 5.0404 Å, 108.49 108.49 18.82°
Fractional positions:
1 B 0.0000 0.0000 0.0000
2 B 0.0888 0.0888 0.4651
3 B 0.1891 0.1891 0.7358
4 B 0.2688 0.2688 0.4081
5 B 0.3893 0.3893 0.3217
6 B 0.5051 0.5051 0.3897
7 B 0.5803 0.5803 0.1610
8 B 0.6971 0.6971 0.1751
9 B 0.8374 0.8374 0.0406
10 C 0.3641 0.3641 0.6341
11 C 0.7286 0.7286 0.8993
12 C 0.8962 0.8962 0.8047


Entry 6:
A relaxed BC crystal, computed with PBE.

Results
Spin magnetization in μB/cell: 0.00
Space group: No. 44
Calculated formation energy in eV per atom: 0.38

Cell: 9.9068 9.9068 9.9068 Å, 164.61 164.41 21.97°
Fractional positions:
1 B 0.0000 0.0000 0.0000
2 B 0.1890 0.1890 0.0000
3 B 0.2615 0.7615 0.5000
4 B 0.4171 0.4171 0.0000
5 B 0.8415 0.3415 0.5000
6 C 0.0567 0.5567 0.5000
7 C 0.4546 0.9546 0.5000
8 C 0.5993 0.5993 0.0000
9 C 0.6471 0.1471 0.5000
10 C 0.8032 0.8032 0.0000


Entry 7:
A relaxed BC crystal, computed with PBE.

Results
Spin magnetization in μB/cell: 0.00
Space group: No. 12
Calculated formation energy in eV per atom: 0.35

Cell: 5.9027 5.9027 5.8659 Å, 104.63 104.63 25.69°
Fractional positions:
1 B 0.0719 0.0719 0.2210
2 B 0.2821 0.2821 0.5855
3 B 0.3912 0.3912 0.2690
4 B 0.6088 0.6088 0.7310
5 B 0.7179 0.7179 0.4145
6 B 0.9281 0.9281 0.7790
7 C 0.0296 0.0296 0.6347
8 C 0.2906 0.2906 0.0201
9 C 0.3681 0.3681 0.8367
10 C 0.6319 0.6319 0.1633
11 C 0.7094 0.7094 0.9799
12 C 0.9704 0.9704 0.3653


Entry 8:
A relaxed B7C5 crystal, computed with PBE.

Results
Spin magnetization in μB/cell: 0.00
Space group: No. 8
Calculated formation energy in eV per atom: 0.30

Cell: 6.6838 6.6838 5.3539 Å, 90.33 90.33 23.24°
Fractional positions:
1 B 0.0000 0.0000 0.0000
2 B 0.0069 0.0069 0.4046
3 B 0.1524 0.1524 0.4599
4 B 0.3840 0.3840 0.1969
5 B 0.6623 0.6623 0.1668
6 B 0.7867 0.7867 0.2167
7 B 0.8127 0.8127 0.6478
8 C 0.0967 0.0967 0.1774
9 C 0.3795 0.3795 0.6951
10 C 0.4449 0.4449 0.9314
11 C 0.4520 0.4520 0.4653
12 C 0.7096 0.7096 0.5067


no.,energy (eV/atom),E above lowest polymorph (meV/atom),calculated density (g/cm3)
1,-7.5850,215,2.89
2,-7.5587,241,2.76
3,-7.6158,184,2.81
4,-7.4261,148,2.80
5,-6.7975,276,2.42
6,-7.5728,227,2.73
7,-7.5958,204,2.66
8,-7.4418,132,2.39